1.
# NiH2PbW PBE-GGA relaxed
data_NiH2PbW
_space_group_name_H-M_alt 'P 1'
_space_group_IT_number 1
_space_group_name_Hall 'P 1'
_cell_length_a 3.793
_cell_length_b 5.327
_cell_length_c 3.793
_cell_angle_alpha 90.00
_cell_angle_beta 90.00
_cell_angle_gamma 90.00
loop_
_atom_site_label
_atom_site_type_symbol
_atom_site_fract_x
_atom_site_fract_y
_atom_site_fract_z
Pb1 Pb 0.000 0.500 0.000
Ni1 Ni 0.000 0.000 0.000
W1 W 0.500 0.500 0.500
H1 H 0.000 0.000 0.500
H2 H 0.500 0.000 0.000
# Size of the total moment   0.458 μB/atom
# Calculated total energy   -4.47 eV/atom
# Space-group type   P4/mmm, No. 123

---

2.
# Dy2Ga7Cu12 PBE-GGA relaxed
data_Dy2Ga7Cu12
_space_group_name_H-M_alt 'P 1'
_space_group_IT_number 1
_space_group_name_Hall 'P 1'
_cell_length_a 3.870
_cell_length_b 9.818
_cell_length_c 9.818
_cell_angle_alpha 120.00
_cell_angle_beta 90.00
_cell_angle_gamma 90.00
loop_
_atom_site_label
_atom_site_type_symbol
_atom_site_fract_x
_atom_site_fract_y
_atom_site_fract_z
Dy1 Dy 0.241 0.333 0.667
Dy2 Dy 0.759 0.667 0.333
Ga1 Ga 0.500 0.000 0.000
Ga2 Ga 0.262 0.884 0.295
Ga3 Ga 0.262 0.411 0.116
Ga4 Ga 0.262 0.705 0.589
Ga5 Ga 0.738 0.116 0.705
Ga6 Ga 0.738 0.589 0.884
Ga7 Ga 0.738 0.295 0.411
Cu1 Cu 0.242 0.625 0.055
Cu2 Cu 0.242 0.430 0.375
Cu3 Cu 0.242 0.945 0.570
Cu4 Cu 0.758 0.375 0.945
Cu5 Cu 0.758 0.570 0.625
Cu6 Cu 0.758 0.055 0.430
Cu7 Cu 0.230 0.123 0.263
Cu8 Cu 0.230 0.140 0.877
Cu9 Cu 0.230 0.737 0.860
Cu10 Cu 0.770 0.877 0.737
Cu11 Cu 0.770 0.860 0.123
Cu12 Cu 0.770 0.263 0.140
# Size of the total moment   0.000 μB/atom
# Calculated total energy   -3.97 eV/atom
# Space-group type   P-3, No. 147
# Energy of formation   -0.187 eV per atom

---

3.
# BaSc2S PBE-GGA relaxed
data_BaSc2S
_space_group_name_H-M_alt 'P 1'
_space_group_IT_number 1
_space_group_name_Hall 'P 1'
_cell_length_a 11.092
_cell_length_b 11.092
_cell_length_c 11.092
_cell_angle_alpha 19.52
_cell_angle_beta 19.52
_cell_angle_gamma 19.52
loop_
_atom_site_label
_atom_site_type_symbol
_atom_site_fract_x
_atom_site_fract_y
_atom_site_fract_z
Sc1 Sc 0.929 0.929 0.929
Sc2 Sc 0.071 0.071 0.071
S1 S 0.000 0.000 0.000
Ba1 Ba 0.500 0.500 0.500
# Size of the total moment   0.000 μB/atom
# Calculated total energy   -4.76 eV/atom
# Space-group type   R-3m, No. 166
# Formation energy without anion corrections   -79.2 meV/atom

---

4.
# K2ZnBiF6 PBE-GGA relaxed
data_K2ZnBiF6
_space_group_name_H-M_alt 'P 1'
_space_group_IT_number 1
_space_group_name_Hall 'P 1'
_cell_length_a 5.807
_cell_length_b 6.990
_cell_length_c 8.723
_cell_angle_alpha 90.00
_cell_angle_beta 90.00
_cell_angle_gamma 90.00
loop_
_atom_site_label
_atom_site_type_symbol
_atom_site_fract_x
_atom_site_fract_y
_atom_site_fract_z
K1 K 0.500 0.808 0.226
K2 K 0.000 0.192 0.726
K3 K 0.500 0.808 0.774
K4 K 0.000 0.192 0.274
Zn1 Zn 0.500 0.221 0.500
Zn2 Zn 0.000 0.779 0.000
Bi1 Bi 0.000 0.709 0.500
Bi2 Bi 0.500 0.291 0.000
F1 F 0.500 0.213 0.257
F2 F 0.500 0.213 0.743
F3 F 0.000 0.787 0.243
F4 F 0.000 0.787 0.757
F5 F 0.252 0.006 0.500
F6 F 0.748 0.006 0.500
F7 F 0.235 0.410 0.500
F8 F 0.765 0.410 0.500
F9 F 0.735 0.590 0.000
F10 F 0.265 0.590 0.000
F11 F 0.248 0.994 0.000
F12 F 0.752 0.994 0.000
# Size of the total moment   0.098 μB/atom
# Calculated total energy   -4.18 eV/atom
# Space-group type   Pmmn, No. 59
# Formation energy without anion corrections   -2327.1 meV/atom

---

5.
# Cr4PtRh7 PBE-GGA relaxed
data_Cr4PtRh7
_space_group_name_H-M_alt 'P 1'
_space_group_IT_number 1
_space_group_name_Hall 'P 1'
_cell_length_a 5.375
_cell_length_b 7.089
_cell_length_c 7.133
_cell_angle_alpha 69.27
_cell_angle_beta 41.09
_cell_angle_gamma 79.04
loop_
_atom_site_label
_atom_site_type_symbol
_atom_site_fract_x
_atom_site_fract_y
_atom_site_fract_z
Cr1 Cr 0.499 0.331 0.671
Cr2 Cr 0.501 0.669 0.329
Cr3 Cr 0.760 0.669 0.822
Cr4 Cr 0.240 0.331 0.178
Pt1 Pt 0.000 0.000 0.000
Rh1 Rh 0.752 0.005 0.501
Rh2 Rh 0.248 0.995 0.499
Rh3 Rh 0.008 0.655 0.328
Rh4 Rh 0.992 0.345 0.672
Rh5 Rh 0.264 0.654 0.827
Rh6 Rh 0.500 0.000 0.000
Rh7 Rh 0.736 0.346 0.173
# Size of the total moment   0.039 μB/atom
# Calculated total energy   -8.09 eV/atom
# Space-group type   P-1, No. 2
# Energy of formation   -0.089 eV per atom

---

6.
# La4PrHo6 PBE-GGA relaxed
data_La4PrHo6
_space_group_name_H-M_alt 'P 1'
_space_group_IT_number 1
_space_group_name_Hall 'P 1'
_cell_length_a 9.735
_cell_length_b 9.735
_cell_length_c 9.735
_cell_angle_alpha 59.24
_cell_angle_beta 139.09
_cell_angle_gamma 139.09
loop_
_atom_site_label
_atom_site_type_symbol
_atom_site_fract_x
_atom_site_fract_y
_atom_site_fract_z
La1 La 0.000 0.632 0.014
La2 La 0.382 0.368 0.368
La3 La 0.000 0.014 0.632
La4 La 0.618 0.986 0.986
Pr1 Pr 0.000 0.000 0.000
Ho1 Ho 0.000 0.793 0.443
Ho2 Ho 0.000 0.443 0.793
Ho3 Ho 0.349 0.557 0.557
Ho4 Ho 0.500 0.500 0.000
Ho5 Ho 0.651 0.207 0.207
Ho6 Ho 0.500 0.000 0.500
# Size of the total moment   0.000 μB/atom
# Calculated total energy   -4.42 eV/atom
# Excess energy over the best structure of this formula in the dataset   140 meV per atom
# Space-group type   I-42m, No. 121
# Energy of formation   0.301 eV per atom